# 1
The following is a PBE calculation of a relaxed SnPd2Pt crystal, from the Alexandria database.

## Properties
D(E_F), states/eV per cell: 0.887
Space-group type: P4/mmm
Energy of formation, kJ/mol of formula units: -187.2

a b c (Å): 4.0357 4.0357 4.0589
angles (deg): 90.00 90.00 90.00
Closest atoms and distances in Å follow each position.
Atoms (fractional coordinates):
Sn 0.0000 0.0000 0.0000  4 Pt 2.85, 8 Pd 2.86
Pd 0.0000 0.5000 0.5000  4 Pd 2.85, 4 Pt 2.86, 4 Sn 2.86
Pd 0.5000 0.0000 0.5000  4 Pd 2.85, 4 Pt 2.86, 4 Sn 2.86
Pt 0.5000 0.5000 0.0000  4 Sn 2.85, 8 Pd 2.86


# 2
The following is a PBE calculation of a relaxed NaTl2F7 crystal, from the Alexandria database.

## Properties
D(E_F), states/eV per cell: 0.000
Uncorrected formation energy, meV/atom: -1998
Space-group type: R-3m

a b c (Å): 10.7428 10.7428 10.7428
angles (deg): 21.42 21.42 21.42
Closest atoms and distances in Å follow each position.
Atoms (fractional coordinates):
Na 0.0000 0.0000 0.0000  8 F 2.47-2.49
Tl 0.4312 0.4312 0.4312  8 F 2.14-2.39
Tl 0.5688 0.5688 0.5688  8 F 2.14-2.39
F 0.0784 0.0784 0.0784  3 Tl 2.39, 1 Na 2.47, 3 F 2.57
F 0.2188 0.2188 0.2188  3 Tl 2.36, 3 F 2.57
F 0.3633 0.3633 0.3633  1 Tl 2.14
F 0.5000 0.5000 0.5000  2 Tl 2.17
F 0.6367 0.6367 0.6367  1 Tl 2.14
F 0.7812 0.7812 0.7812  3 Tl 2.36, 3 F 2.57
F 0.9216 0.9216 0.9216  3 Tl 2.39, 1 Na 2.47, 3 F 2.57


# 3
The following is a PBE calculation of a relaxed ScV2Ga crystal, from the Alexandria database.

## Properties
D(E_F), states/eV per cell: 9.854
Space-group type: I-42d
Energy of formation, kJ/mol of formula units: 162.0

a b c (Å): 5.7424 5.7424 5.7424
angles (deg): 102.02 102.02 125.71
Closest atoms and distances in Å follow each position.
Atoms (fractional coordinates):
Sc 0.0000 0.0000 0.0000  2 Ga 2.62, 4 V 2.78
Sc 0.7500 0.2500 0.5000  2 Ga 2.62, 4 V 2.78
V 0.1520 0.6250 0.0270  2 Ga 2.51, 2 V 2.65, 2 Sc 2.78
V 0.3750 0.4020 0.5270  2 Ga 2.51, 2 V 2.65, 2 Sc 2.78
V 0.5980 0.1250 0.9730  2 Ga 2.51, 2 V 2.65, 2 Sc 2.78
V 0.8750 0.8480 0.4730  2 Ga 2.51, 2 V 2.65, 2 Sc 2.78
Ga 0.2500 0.7500 0.5000  4 V 2.51, 2 Sc 2.62
Ga 0.5000 0.5000 0.0000  4 V 2.51, 2 Sc 2.62


# 4
The following is a PBE calculation of a relaxed Sc3CdC crystal, from the Alexandria database.

## Properties
D(E_F), states/eV per cell: 5.582
Energy relative to the lowest polymorph listed for this composition, eV/f.u.: 3.973
Space-group type: P4mm
Energy of formation, kJ/mol of formula units: 159.5

a b c (Å): 3.7824 3.7824 7.9988
angles (deg): 90.00 90.00 90.00
Closest atoms and distances in Å follow each position.
Atoms (fractional coordinates):
Sc 0.0000 0.0000 0.0000  4 C 2.87, 4 Sc 3.02, 1 Cd 3.03
Sc 0.0000 0.5000 0.7049  2 C 2.30
Sc 0.5000 0.0000 0.7049  2 C 2.30
Cd 0.0000 0.0000 0.3793  5 Sc 3.03-3.22
C 0.5000 0.5000 0.8682  4 Sc 2.30